[1]
First-principles (PBE-GGA) data for a geometry-optimized Zn3IrPb structure, as listed in Alexandria via LeMat-Bulk.

Unit cell a=4.8349 b=4.8349 c=4.8349 alpha=90.00 beta=90.00 gamma=90.00
Closest atoms and distances in Å follow each position.
Positions (direct):
Zn 0.0000 0.0000 0.5000  2 Ir 2.42
Zn 0.0000 0.5000 0.0000  2 Ir 2.42
Zn 0.5000 0.0000 0.0000  2 Ir 2.42
Ir 0.0000 0.0000 0.0000  6 Zn 2.42
Pb 0.5000 0.5000 0.5000  12 Zn 3.42

Values from the calculation:
Formation enthalpy at 0 K   0.8 eV/f.u.
Offset from the most stable computed form   0 meV per atom
Calculated volume   22.6 A^3/atom

[2]
First-principles (PBE-GGA) data for a geometry-optimized NiSb2TeN structure, as listed in Alexandria via LeMat-Bulk.

Unit cell a=4.8520 b=4.8520 c=5.0084 alpha=90.00 beta=90.00 gamma=90.00
Closest atoms and distances in Å follow each position.
Positions (direct):
Ni 0.0000 0.0000 0.0000  4 Sb 2.43, 2 Te 2.50
Sb 0.0000 0.5000 0.0000  2 Ni 2.43
Sb 0.5000 0.0000 0.0000  2 Ni 2.43
Te 0.0000 0.0000 0.5000  2 Ni 2.50
N 0.5000 0.5000 0.5000  4 Te 3.43, 8 Sb 3.49

Values from the calculation:
Offset from the most stable computed form   518 meV per atom
Calculated volume   23.6 A^3/atom
Energy relative to the elements, uncorrected   1.339 eV per atom

[3]
First-principles (PBE-GGA) data for a geometry-optimized NaSnSbPd structure, as listed in Alexandria via LeMat-Bulk.

Unit cell a=4.9627 b=4.9627 c=4.9627 alpha=60.00 beta=60.00 gamma=60.00
Closest atoms and distances in Å follow each position.
Positions (direct):
Na 0.0000 0.0000 0.0000  4 Sn 3.04, 4 Sb 3.04
Sn 0.7500 0.7500 0.7500  4 Pd 3.04, 4 Na 3.04
Sb 0.2500 0.2500 0.2500  4 Na 3.04, 4 Pd 3.04
Pd 0.5000 0.5000 0.5000  4 Sn 3.04, 4 Sb 3.04

Values from the calculation:
Calculated volume   21.6 A^3/atom
Energy relative to the elements, uncorrected   -0.227 eV per atom

[4]
First-principles (PBE-GGA) data for a geometry-optimized Ac2Tm3Ir2 structure, as listed in Alexandria via LeMat-Bulk.

Unit cell a=6.5915 b=6.5915 c=9.2122 alpha=117.10 beta=117.10 gamma=34.97
Closest atoms and distances in Å follow each position.
Positions (direct):
Ac 0.1618 0.1618 0.2935  2 Ir 3.08
Ac 0.8382 0.8382 0.7065  2 Ir 3.08
Tm 0.3731 0.3731 0.0730  3 Ir 2.79-2.90
Tm 0.5000 0.5000 0.5000  4 Ir 2.98
Tm 0.6269 0.6269 0.9270  3 Ir 2.79-2.90
Ir 0.1657 0.1657 0.7444  5 Tm 2.79-2.98, 2 Ac 3.08
Ir 0.8343 0.8343 0.2556  5 Tm 2.79-2.98, 2 Ac 3.08

Values from the calculation:
Formation enthalpy at 0 K   -4.2 eV/f.u.
Calculated volume   28.8 A^3/atom

[5]
First-principles (PBE-GGA) data for a geometry-optimized SbPPdS2 structure, as listed in Alexandria via LeMat-Bulk.

Unit cell a=4.7901 b=4.7901 c=4.5634 alpha=90.00 beta=90.00 gamma=90.00
Closest atoms and distances in Å follow each position.
Positions (direct):
Sb 0.0000 0.0000 0.0000  8 S 3.31, 4 P 3.39
P 0.5000 0.5000 0.0000  2 Pd 2.28
Pd 0.5000 0.5000 0.5000  2 P 2.28, 4 S 2.40
S 0.0000 0.5000 0.5000  2 Pd 2.40
S 0.5000 0.0000 0.5000  2 Pd 2.40

Values from the calculation:
Offset from the most stable computed form   0 meV per atom
Calculated volume   20.9 A^3/atom
Energy relative to the elements, uncorrected   0.480 eV per atom

[6]
First-principles (PBE-GGA) data for a geometry-optimized Mg6SnBiO8 structure, as listed in Alexandria via LeMat-Bulk.

Unit cell a=4.6374 b=4.6374 c=9.2688 alpha=90.00 beta=90.00 gamma=90.00
Closest atoms and distances in Å follow each position.
Positions (direct):
Mg 0.0000 0.0000 0.0000  6 O 2.24-2.32
Mg 0.0000 0.0000 0.5000  6 O 2.32-2.39
Mg 0.0000 0.5000 0.2414  6 O 2.24-2.40
Mg 0.0000 0.5000 0.7586  6 O 2.24-2.40
Mg 0.5000 0.0000 0.2414  6 O 2.24-2.40
Mg 0.5000 0.0000 0.7586  6 O 2.24-2.40
Sn 0.5000 0.5000 0.0000  6 O 2.28-2.32
Bi 0.5000 0.5000 0.5000  6 O 2.32-2.35
O 0.0000 0.0000 0.2420  6 Mg 2.24-2.39
O 0.0000 0.0000 0.7580  6 Mg 2.24-2.39
O 0.0000 0.5000 0.0000  4 Mg 2.24-2.32, 2 Sn 2.32
O 0.0000 0.5000 0.5000  2 Bi 2.32, 4 Mg 2.32-2.40
O 0.5000 0.0000 0.0000  4 Mg 2.24-2.32, 2 Sn 2.32
O 0.5000 0.0000 0.5000  2 Bi 2.32, 4 Mg 2.32-2.40
O 0.5000 0.5000 0.2461  1 Sn 2.28, 4 Mg 2.32, 1 Bi 2.35
O 0.5000 0.5000 0.7539  1 Sn 2.28, 4 Mg 2.32, 1 Bi 2.35

Values from the calculation:
Offset from the most stable computed form   73 meV per atom
Calculated volume   12.5 A^3/atom
Energy relative to the elements, uncorrected   -1.849 eV per atom

[7]
First-principles (PBE-GGA) data for a geometry-optimized SiAs2Ir2 structure, as listed in Alexandria via LeMat-Bulk.

Unit cell a=6.3861 b=6.3861 c=6.3861 alpha=144.18 beta=144.18 gamma=51.56
Closest atoms and distances in Å follow each position.
Positions (direct):
Si 0.0000 0.0000 0.0000  8 Ir 3.05
As 0.2500 0.7500 0.5000  4 Ir 2.54, 4 As 2.78
As 0.7500 0.2500 0.5000  4 Ir 2.54, 4 As 2.78
Ir 0.3895 0.3895 0.0000  4 As 2.54, 1 Ir 2.54
Ir 0.6105 0.6105 0.0000  4 As 2.54, 1 Ir 2.54

Values from the calculation:
Calculated volume   17.7 A^3/atom
Energy relative to the elements, uncorrected   0.362 eV per atom

[8]
First-principles (PBE-GGA) data for a geometry-optimized Zr2PbBr structure, as listed in Alexandria via LeMat-Bulk.

Unit cell a=6.3121 b=6.3121 c=6.3121 alpha=149.41 beta=131.47 gamma=58.47
Closest atoms and distances in Å follow each position.
Positions (direct):
Zr 0.0000 0.0000 0.0000  2 Br 2.84, 4 Pb 3.08, 2 Zr 3.18
Zr 0.7544 0.2544 0.5000  4 Br 3.12, 4 Zr 3.18-3.33, 2 Pb 3.33
Pb 0.4928 0.4928 0.0000  6 Zr 3.08-3.33, 2 Pb 3.33
Br 0.2093 0.7093 0.5000  6 Zr 2.84-3.12

Values from the calculation:
Calculated volume   23.8 A^3/atom
Energy relative to the elements, uncorrected   -0.134 eV per atom

[9]
First-principles (PBE-GGA) data for a geometry-optimized CrOsW structure, as listed in Alexandria via LeMat-Bulk.

Unit cell a=4.2757 b=4.2757 c=2.7031 alpha=90.00 beta=90.00 gamma=120.00
Closest atoms and distances in Å follow each position.
Positions (direct):
Cr 0.0000 0.0000 0.0000  3 W 2.56, 3 Os 2.68, 2 Cr 2.70
Os 0.3333 0.6667 0.3848  3 W 2.66, 6 Cr 2.68-2.98, 2 Os 2.70
W 0.6667 0.3333 0.7537  3 Cr 2.56, 3 Os 2.66, 2 W 2.70

Values from the calculation:
Formation enthalpy at 0 K   0.6 eV/f.u.
Offset from the most stable computed form   39 meV per atom
Calculated volume   14.3 A^3/atom

[10]
First-principles (PBE-GGA) data for a geometry-optimized Mg3FeN structure, as listed in Alexandria via LeMat-Bulk.

Unit cell a=4.2646 b=4.2646 c=4.2646 alpha=90.00 beta=90.00 gamma=90.00
Closest atoms and distances in Å follow each position.
Positions (direct):
Mg 0.0000 0.0000 0.5000  2 N 2.13
Mg 0.0000 0.5000 0.0000  2 N 2.13
Mg 0.5000 0.0000 0.0000  2 N 2.13
Fe 0.5000 0.5000 0.5000  12 Mg 3.02
N 0.0000 0.0000 0.0000  6 Mg 2.13

Values from the calculation:
Offset from the most stable computed form   0 meV per atom
Calculated volume   15.5 A^3/atom
Energy relative to the elements, uncorrected   0.052 eV per atom

[11]
First-principles (PBE-GGA) data for a geometry-optimized YReMoPd2 structure, as listed in Alexandria via LeMat-Bulk.

Unit cell a=4.9056 b=4.9056 c=4.6684 alpha=90.00 beta=90.00 gamma=90.00
Closest atoms and distances in Å follow each position.
Positions (direct):
Y 0.0000 0.0000 0.0000  8 Pd 3.39, 4 Mo 3.47
Re 0.5000 0.5000 0.5000  2 Mo 2.33, 4 Pd 2.45
Mo 0.5000 0.5000 0.0000  2 Re 2.33
Pd 0.0000 0.5000 0.5000  2 Re 2.45
Pd 0.5000 0.0000 0.5000  2 Re 2.45

Values from the calculation:
Formation enthalpy at 0 K   3.3 eV/f.u.
Offset from the most stable computed form   0 meV per atom
Calculated volume   22.5 A^3/atom

[12]
First-principles (PBE-GGA) data for a geometry-optimized Na4Sr3 structure, as listed in Alexandria via LeMat-Bulk.

Unit cell a=15.7854 b=15.7854 c=15.7854 alpha=163.66 beta=163.62 gamma=23.21
Closest atoms and distances in Å follow each position.
Positions (direct):
Na 0.0727 0.0727 0.0000  8 Sr 3.88-3.89
Na 0.2217 0.2217 0.0000  4 Na 3.63, 4 Sr 3.97
Na 0.7783 0.7783 0.0000  4 Na 3.63, 4 Sr 3.97
Na 0.9274 0.9274 0.0000  8 Sr 3.88-3.89
Sr 0.3554 0.3554 0.0000  9 Na 3.88-4.14
Sr 0.5000 0.5000 0.0000  8 Na 3.89
Sr 0.6446 0.6446 0.0000  9 Na 3.88-4.14

Values from the calculation:
Formation enthalpy at 0 K   0.2 eV/f.u.
Offset from the most stable computed form   0 meV per atom
Calculated volume   44.6 A^3/atom